[1]
The following is a DFT calculation (PBE-GGA) of a relaxed structure of LiCo2AsN.

abc: 3.7433 3.7433 3.9572
angles: 90.00 90.00 90.00
Closest atoms and distances in Å follow each position.
Sites, in units of the cell vectors:
Li 0.0000 0.0000 0.5000  2 N 1.98
N 0.0000 0.0000 0.0000  4 Co 1.87, 2 Li 1.98
As 0.5000 0.5000 0.5000  4 Li 2.65, 8 Co 2.72
Co 0.5000 0.0000 0.0000  2 N 1.87
Co 0.0000 0.5000 0.0000  2 N 1.87

The symmetry is P4/mmm, No. 123. The value obtained for the formation energy without anion corrections is -0.1201 eV/atom.

***

[2]
The following is a DFT calculation (PBE-GGA) of a relaxed structure of Li2CoAsN.

abc: 4.0378 4.0378 3.5541
angles: 90.00 90.00 90.00
Closest atoms and distances in Å follow each position.
Sites, in units of the cell vectors:
Li 0.0000 0.5000 0.0000  2 N 2.02
Li 0.5000 0.0000 0.0000  2 N 2.02
Co 0.0000 0.0000 0.5000  2 N 1.78
As 0.5000 0.5000 0.5000  8 Li 2.69, 4 Co 2.86
N 0.0000 0.0000 0.0000  2 Co 1.78

The symmetry is P4/mmm, No. 123. The value obtained for the formation energy without anion corrections is -0.2791 eV/atom.